(1)
Compound: TbSc4Sn
Source: the Alexandria database
Functional: GGA-PBE
Structure: optimized geometry

a = 3.435 Å, b = 9.485 Å, c = 9.516 Å
α = 90.00°, β = 100.40°, γ = 90.00°
Sites, in units of the cell vectors:
Sc 0.500 0.000 0.000
Sc 0.673 0.971 0.346
Sc 0.079 0.750 0.157
Sc 0.673 0.529 0.346
Sc 0.327 0.471 0.654
Sc 0.327 0.029 0.654
Sc 0.921 0.250 0.843
Sc 0.500 0.500 0.000
Tb 0.896 0.750 0.792
Tb 0.104 0.250 0.208
Sn 0.248 0.750 0.496
Sn 0.752 0.250 0.504

Results
* ΔH_f (0 K): -223.5 meV/atom

---

(2)
Compound: TbScZnSn
Source: the Alexandria database
Functional: GGA-PBE
Structure: optimized geometry

a = 5.057 Å, b = 5.057 Å, c = 5.057 Å
α = 60.00°, β = 60.00°, γ = 60.00°
Sites, in units of the cell vectors:
Sn 0.250 0.250 0.250
Tb 0.000 0.000 0.000
Sc 0.500 0.500 0.500
Zn 0.750 0.750 0.750

Results
* ΔH_f (0 K): -475.0 meV/atom

---

(3)
Compound: Sc4Tc2Sn
Source: the Alexandria database
Functional: GGA-PBE
Structure: optimized geometry

a = 5.334 Å, b = 5.334 Å, c = 7.309 Å
α = 68.60°, β = 68.60°, γ = 90.00°
Sites, in units of the cell vectors:
Sc 0.000 0.500 0.000
Sc 0.778 0.778 0.444
Sc 0.500 0.000 0.000
Sc 0.222 0.222 0.556
Tc 0.596 0.596 0.809
Tc 0.404 0.404 0.191
Sn 0.000 0.000 0.000

Results
* ΔH_f (0 K): 571.6 meV/atom